1.
# Mg2AsSe (PBEsol, relaxed)
# formation energy without anion corrections	-0.444	eV per atom
# uncorrected energy	-14.2	eV for the cell shown
data_Mg2AsSe
_space_group_name_H-M_alt 'P 4/m m m'
_space_group_IT_number 123
_space_group_name_Hall '-P 4 2'
_cell_length_a 4.928
_cell_length_b 4.928
_cell_length_c 3.198
_cell_angle_alpha 90.00
_cell_angle_beta 90.00
_cell_angle_gamma 90.00
loop_
_atom_site_label
_atom_site_type_symbol
_atom_site_fract_x
_atom_site_fract_y
_atom_site_fract_z
Mg1 Mg 0.000 0.500 0.000
As1 As 0.000 0.000 0.500
Se1 Se 0.500 0.500 0.500

***

2.
# Nd2ZnPtO6 (PBEsol, relaxed)
# formation energy without anion corrections	-2.214	eV per atom
# uncorrected energy	-145.0	eV for the cell shown
data_Nd2ZnPtO6
_space_group_name_H-M_alt 'P 1 21/c 1'
_space_group_IT_number 14
_cell_length_a 5.419
_cell_length_b 5.781
_cell_length_c 9.452
_cell_angle_alpha 90.00
_cell_angle_beta 124.80
_cell_angle_gamma 90.00
loop_
_space_group_symop_operation_xyz
'x,y,z'
'-x,-y,-z'
'-x,y+1/2,-z+1/2'
'x,-y+1/2,z+1/2'
loop_
_atom_site_label
_atom_site_type_symbol
_atom_site_fract_x
_atom_site_fract_y
_atom_site_fract_z
Nd1 Nd 0.230 0.071 0.251
Zn1 Zn 0.500 0.000 0.000
Pt1 Pt 0.000 0.000 0.500
O1 O 0.134 0.204 0.946
O2 O 0.252 0.695 0.949
O3 O 0.352 0.031 0.748

***

3.
# YZrCo2 (PBEsol, relaxed)
# formation energy from the elements	-175	meV/atom
# uncorrected energy	-32.1	eV for the cell shown
data_YZrCo2
_space_group_name_H-M_alt 'P 4/m m m'
_space_group_IT_number 123
_space_group_name_Hall '-P 4 2'
_cell_length_a 4.560
_cell_length_b 4.560
_cell_length_c 3.169
_cell_angle_alpha 90.00
_cell_angle_beta 90.00
_cell_angle_gamma 90.00
loop_
_atom_site_label
_atom_site_type_symbol
_atom_site_fract_x
_atom_site_fract_y
_atom_site_fract_z
Y1 Y 0.000 0.000 0.000
Zr1 Zr 0.500 0.500 0.000
Co1 Co 0.000 0.500 0.500

***

4.
# LiBi2Se (PBEsol, relaxed)
# formation energy without anion corrections	-0.224	eV per atom
# uncorrected energy	-61.1	eV for the cell shown
data_LiBi2Se
_space_group_name_H-M_alt 'I -4 2 d'
_space_group_IT_number 122
_space_group_name_Hall 'I -4 2bw'
_cell_length_a 4.462
_cell_length_b 4.462
_cell_length_c 21.838
_cell_angle_alpha 90.00
_cell_angle_beta 90.00
_cell_angle_gamma 90.00
loop_
_atom_site_label
_atom_site_type_symbol
_atom_site_fract_x
_atom_site_fract_y
_atom_site_fract_z
Li1 Li 0.000 0.000 0.000
Bi1 Bi 0.232 0.250 0.625
Se1 Se 0.000 0.000 0.500

***

5.
# Cd2Sn2Bi (PBEsol, relaxed)
# formation energy from the elements	79	meV/atom
# distance to the lowest polymorph of the same formula	0.0	meV per atom
# uncorrected energy	-29.6	eV for the cell shown
data_Cd2Sn2Bi
_space_group_name_H-M_alt 'P 4/m b m'
_space_group_IT_number 127
_space_group_name_Hall '-P 4 2ab'
_cell_length_a 8.918
_cell_length_b 8.918
_cell_length_c 3.260
_cell_angle_alpha 90.00
_cell_angle_beta 90.00
_cell_angle_gamma 90.00
loop_
_atom_site_label
_atom_site_type_symbol
_atom_site_fract_x
_atom_site_fract_y
_atom_site_fract_z
Cd1 Cd 0.119 0.381 0.000
Sn1 Sn 0.180 0.680 0.500
Bi1 Bi 0.000 0.000 0.500

***

6.
# MnV4CrO12 (PBEsol, relaxed)
# formation energy without anion corrections	-2.165	eV per atom
# uncorrected energy	-321.0	eV for the cell shown
data_MnV4CrO12
_space_group_name_H-M_alt 'C 1 2 1'
_space_group_IT_number 5
_cell_length_a 9.859
_cell_length_b 8.884
_cell_length_c 5.725
_cell_angle_alpha 90.00
_cell_angle_beta 110.56
_cell_angle_gamma 90.00
loop_
_space_group_symop_operation_xyz
'x,y,z'
'-x,y,-z'
'x+1/2,y+1/2,z'
'-x+1/2,y+1/2,-z'
loop_
_atom_site_label
_atom_site_type_symbol
_atom_site_fract_x
_atom_site_fract_y
_atom_site_fract_z
Mn1 Mn 0.000 0.000 0.000
V1 V 0.201 0.510 0.495
V2 V 0.204 0.323 0.001
Cr1 Cr 0.000 0.834 0.500
O1 O 0.109 0.839 0.869
O2 O 0.112 0.994 0.403
O3 O 0.136 0.429 0.196
O4 O 0.138 0.688 0.473
O5 O 0.143 0.400 0.699
O6 O 0.152 0.143 0.994

***

7.
# Ta2PbCl (PBEsol, relaxed)
# formation energy without anion corrections	0.464	eV per atom
# distance to the lowest polymorph of the same formula	100.3	meV per atom
# uncorrected energy	-58.5	eV for the cell shown
data_Ta2PbCl
_space_group_name_H-M_alt 'C m m m'
_space_group_IT_number 65
_space_group_name_Hall '-C 2 2'
_cell_length_a 2.931
_cell_length_b 5.657
_cell_length_c 9.352
_cell_angle_alpha 90.00
_cell_angle_beta 90.00
_cell_angle_gamma 90.00
loop_
_atom_site_label
_atom_site_type_symbol
_atom_site_fract_x
_atom_site_fract_y
_atom_site_fract_z
Ta1 Ta 0.000 0.000 0.230
Pb1 Pb 0.000 0.500 0.500
Cl1 Cl 0.000 0.500 0.000

***

8.
# GdSn2 (PBEsol, relaxed)
# formation energy from the elements	-672	meV/atom
# uncorrected energy	-99.9	eV for the cell shown
data_GdSn2
_space_group_name_H-M_alt 'C m c m'
_space_group_IT_number 63
_space_group_name_Hall '-C 2c 2'
_cell_length_a 4.410
_cell_length_b 16.071
_cell_length_c 4.305
_cell_angle_alpha 90.00
_cell_angle_beta 90.00
_cell_angle_gamma 90.00
loop_
_atom_site_label
_atom_site_type_symbol
_atom_site_fract_x
_atom_site_fract_y
_atom_site_fract_z
Gd1 Gd 0.000 0.098 0.250
Sn1 Sn 0.000 0.252 0.750
Sn2 Sn 0.000 0.436 0.250